No. 1
PBE Ti2PdPb, optimized geometry; VASP energy = -6.113 eV/atom; D(E_F) = 1.20 states/eV/atom; crystal system = tetragonal
1.0
7.4050 0.0000 0.0000
0.0000 7.4050 0.0000
0.0000 0.0000 5.7761
Ti Pd Pb
8 4 4
Direct
0.2155 0.7500 0.1250 Ti
0.2500 0.2155 0.8750 Ti
0.2500 0.2845 0.3750 Ti
0.2845 0.7500 0.6250 Ti
0.7155 0.2500 0.6250 Ti
0.7500 0.7155 0.3750 Ti
0.7500 0.7845 0.8750 Ti
0.7845 0.2500 0.1250 Ti
0.0000 0.0000 0.0000 Pd
0.0000 0.5000 0.2500 Pd
0.5000 0.0000 0.7500 Pd
0.5000 0.5000 0.5000 Pd
0.0000 0.0000 0.5000 Pb
0.0000 0.5000 0.7500 Pb
0.5000 0.0000 0.2500 Pb
0.5000 0.5000 0.0000 Pb

***

No. 2
PBE LiZrOs2, optimized geometry; VASP energy = -8.028 eV/atom; D(E_F) = 0.81 states/eV/atom; crystal system = orthorhombic
1.0
3.1199 0.0000 0.0000
0.0000 4.6335 0.0000
0.0000 0.0000 8.7756
Li Zr Os
2 2 4
Direct
0.0000 0.0000 0.0000 Li
0.5000 0.5000 0.0000 Li
0.0000 0.0000 0.5000 Zr
0.5000 0.5000 0.5000 Zr
0.0000 0.5000 0.2469 Os
0.0000 0.5000 0.7531 Os
0.5000 0.0000 0.2469 Os
0.5000 0.0000 0.7531 Os

***

No. 3
PBE Mn2TcAu, optimized geometry; VASP energy = -7.779 eV/atom; D(E_F) = 1.18 states/eV/atom; crystal system = tetragonal
1.0
4.3670 0.0000 0.0000
0.0000 4.3670 0.0000
0.0000 0.0000 3.1462
Mn Tc Au
2 1 1
Direct
0.0000 0.5000 0.0000 Mn
0.5000 0.0000 0.0000 Mn
0.0000 0.0000 0.5000 Tc
0.5000 0.5000 0.5000 Au

***

No. 4
PBE Cd6HgAu8, optimized geometry; VASP energy = -2.202 eV/atom; D(E_F) = 0.34 states/eV/atom; crystal system = trigonal
1.0
4.1045 2.3697 5.5533
-4.1045 2.3697 5.5533
0.0000 -4.7395 5.5533
Cd Hg Au
6 1 8
Direct
0.1354 0.4146 0.6595 Cd
0.3405 0.8646 0.5854 Cd
0.4146 0.6595 0.1354 Cd
0.5854 0.3405 0.8646 Cd
0.6595 0.1354 0.4146 Cd
0.8646 0.5854 0.3405 Cd
0.0000 0.0000 0.0000 Hg
0.0659 0.8313 0.4159 Au
0.1687 0.5841 0.9341 Au
0.2885 0.2885 0.2885 Au
0.4159 0.0659 0.8313 Au
0.5841 0.9341 0.1687 Au
0.7115 0.7115 0.7115 Au
0.8313 0.4159 0.0659 Au
0.9341 0.1687 0.5841 Au

***

> Among the records above, which one has the highest VASP energy?

Cd6HgAu8

***

> What is the VASP energy in the third record?

-7.779 eV/atom